1:
# BaSrAs PBEsol relaxed
# Space-group type ... P3m1 (156)
data_BaSrAs
_chemical_formula_sum 'Ba1 Sr1 As1'
_cell_length_a 4.585
_cell_length_b 4.585
_cell_length_c 7.747
_cell_angle_alpha 90.00
_cell_angle_beta 90.00
_cell_angle_gamma 120.00
_symmetry_space_group_name_H-M 'P 1'
_symmetry_Int_Tables_number 1
_symmetry_space_group_name_Hall 'P 1'
loop_
_atom_site_label
_atom_site_type_symbol
_atom_site_fract_x
_atom_site_fract_y
_atom_site_fract_z
Sr1 Sr 0.333 0.667 0.211
As1 As 0.000 0.000 0.009
Ba1 Ba 0.667 0.333 0.780



2:
# BaSrAs PBEsol relaxed
# Space-group type ... F-43m (216)
data_BaSrAs
_chemical_formula_sum 'Ba1 Sr1 As1'
_cell_length_a 5.360
_cell_length_b 5.360
_cell_length_c 5.360
_cell_angle_alpha 60.00
_cell_angle_beta 60.00
_cell_angle_gamma 60.00
_symmetry_space_group_name_H-M 'P 1'
_symmetry_Int_Tables_number 1
_symmetry_space_group_name_Hall 'P 1'
loop_
_atom_site_label
_atom_site_type_symbol
_atom_site_fract_x
_atom_site_fract_y
_atom_site_fract_z
Sr1 Sr 0.500 0.500 0.500
As1 As 0.250 0.250 0.250
Ba1 Ba 0.000 0.000 0.000



Which structure is the least stable? The one labeled 1.



1:
# BaTlAs PBEsol relaxed
# Space-group type ... P3m1 (156)
data_BaTlAs
_chemical_formula_sum 'Ba1 Tl1 As1'
_cell_length_a 4.594
_cell_length_b 4.594
_cell_length_c 5.326
_cell_angle_alpha 90.00
_cell_angle_beta 90.00
_cell_angle_gamma 120.00
_symmetry_space_group_name_H-M 'P 1'
_symmetry_Int_Tables_number 1
_symmetry_space_group_name_Hall 'P 1'
loop_
_atom_site_label
_atom_site_type_symbol
_atom_site_fract_x
_atom_site_fract_y
_atom_site_fract_z
As1 As 0.000 0.000 0.036
Tl1 Tl 0.667 0.333 0.267
Ba1 Ba 0.333 0.667 0.697



2:
# BaTlAs PBEsol relaxed
# Space-group type ... F-43m (216)
data_BaTlAs
_chemical_formula_sum 'Ba1 Tl1 As1'
_cell_length_a 5.323
_cell_length_b 5.323
_cell_length_c 5.323
_cell_angle_alpha 60.00
_cell_angle_beta 60.00
_cell_angle_gamma 60.00
_symmetry_space_group_name_H-M 'P 1'
_symmetry_Int_Tables_number 1
_symmetry_space_group_name_Hall 'P 1'
loop_
_atom_site_label
_atom_site_type_symbol
_atom_site_fract_x
_atom_site_fract_y
_atom_site_fract_z
As1 As 0.500 0.500 0.500
Tl1 Tl 0.000 0.000 0.000
Ba1 Ba 0.250 0.250 0.250



3:
# BaTlAs PBEsol relaxed
# Space-group type ... F-43m (216)
data_BaTlAs
_chemical_formula_sum 'Ba1 Tl1 As1'
_cell_length_a 5.345
_cell_length_b 5.345
_cell_length_c 5.345
_cell_angle_alpha 60.00
_cell_angle_beta 60.00
_cell_angle_gamma 60.00
_symmetry_space_group_name_H-M 'P 1'
_symmetry_Int_Tables_number 1
_symmetry_space_group_name_Hall 'P 1'
loop_
_atom_site_label
_atom_site_type_symbol
_atom_site_fract_x
_atom_site_fract_y
_atom_site_fract_z
As1 As 0.250 0.250 0.250
Tl1 Tl 0.500 0.500 0.500
Ba1 Ba 0.000 0.000 0.000



Which structure is the least stable? The one labeled 2.



1:
# BeAs PBEsol relaxed
# Space-group type ... Cmcm (63)
data_BeAs
_chemical_formula_sum 'Be2 As2'
_cell_length_a 3.880
_cell_length_b 3.867
_cell_length_c 4.760
_cell_angle_alpha 90.00
_cell_angle_beta 90.00
_cell_angle_gamma 120.12
_symmetry_space_group_name_H-M 'P 1'
_symmetry_Int_Tables_number 1
_symmetry_space_group_name_Hall 'P 1'
loop_
_atom_site_label
_atom_site_type_symbol
_atom_site_fract_x
_atom_site_fract_y
_atom_site_fract_z
Be1 Be 0.907 0.313 0.250
Be2 Be 0.093 0.687 0.750
As1 As 0.239 0.976 0.250
As2 As 0.761 0.024 0.750



2:
# BeAs PBEsol relaxed
# Space-group type ... Pmma (51)
data_BeAs
_chemical_formula_sum 'Be2 As2'
_cell_length_a 2.698
_cell_length_b 3.561
_cell_length_c 6.131
_cell_angle_alpha 90.00
_cell_angle_beta 90.00
_cell_angle_gamma 90.00
_symmetry_space_group_name_H-M 'P 1'
_symmetry_Int_Tables_number 1
_symmetry_space_group_name_Hall 'P 1'
loop_
_atom_site_label
_atom_site_type_symbol
_atom_site_fract_x
_atom_site_fract_y
_atom_site_fract_z
Be1 Be 0.500 0.750 0.115
Be2 Be 0.500 0.250 0.885
As1 As 0.000 0.750 0.728
As2 As 0.000 0.250 0.272



3:
# BeAs PBEsol relaxed
# Space-group type ... Pm-3m (221)
data_BeAs
_chemical_formula_sum 'Be1 As1'
_cell_length_a 3.013
_cell_length_b 3.013
_cell_length_c 3.013
_cell_angle_alpha 90.00
_cell_angle_beta 90.00
_cell_angle_gamma 90.00
_symmetry_space_group_name_H-M 'P 1'
_symmetry_Int_Tables_number 1
_symmetry_space_group_name_Hall 'P 1'
loop_
_atom_site_label
_atom_site_type_symbol
_atom_site_fract_x
_atom_site_fract_y
_atom_site_fract_z
Be1 Be 0.500 0.500 0.500
As1 As 0.000 0.000 0.000



4:
# BeAs PBEsol relaxed
# Space-group type ... C2/m (12)
data_BeAs
_chemical_formula_sum 'Be2 As2'
_cell_length_a 3.344
_cell_length_b 3.894
_cell_length_c 5.391
_cell_angle_alpha 107.36
_cell_angle_beta 90.00
_cell_angle_gamma 115.43
_symmetry_space_group_name_H-M 'P 1'
_symmetry_Int_Tables_number 1
_symmetry_space_group_name_Hall 'P 1'
loop_
_atom_site_label
_atom_site_type_symbol
_atom_site_fract_x
_atom_site_fract_y
_atom_site_fract_z
Be1 Be 0.890 0.779 0.592
Be2 Be 0.110 0.221 0.408
As1 As 0.639 0.278 0.762
As2 As 0.361 0.722 0.238



Which structure is the least stable? The one labeled 3.



1:
# BeAs PBEsol relaxed
# Space-group type ... P4/nmm (129)
data_BeAs
_chemical_formula_sum 'Be2 As2'
_cell_length_a 2.634
_cell_length_b 2.634
_cell_length_c 8.198
_cell_angle_alpha 90.00
_cell_angle_beta 90.00
_cell_angle_gamma 90.00
_symmetry_space_group_name_H-M 'P 1'
_symmetry_Int_Tables_number 1
_symmetry_space_group_name_Hall 'P 1'
loop_
_atom_site_label
_atom_site_type_symbol
_atom_site_fract_x
_atom_site_fract_y
_atom_site_fract_z
Be1 Be 0.500 0.000 0.584
Be2 Be 0.000 0.500 0.416
As1 As 0.500 0.000 0.182
As2 As 0.000 0.500 0.818



2:
# BeAs PBEsol relaxed
# Space-group type ... P6_3mc (186)
data_BeAs
_chemical_formula_sum 'Be2 As2'
_cell_length_a 3.333
_cell_length_b 3.333
_cell_length_c 6.701
_cell_angle_alpha 90.00
_cell_angle_beta 90.00
_cell_angle_gamma 120.00
_symmetry_space_group_name_H-M 'P 1'
_symmetry_Int_Tables_number 1
_symmetry_space_group_name_Hall 'P 1'
loop_
_atom_site_label
_atom_site_type_symbol
_atom_site_fract_x
_atom_site_fract_y
_atom_site_fract_z
Be1 Be 0.667 0.333 0.652
Be2 Be 0.333 0.667 0.152
As1 As 0.667 0.333 0.977
As2 As 0.333 0.667 0.477



3:
# BeAs PBEsol relaxed
# Space-group type ... P6_3/mmc (194)
data_BeAs
_chemical_formula_sum 'Be2 As2'
_cell_length_a 3.685
_cell_length_b 3.685
_cell_length_c 4.679
_cell_angle_alpha 90.00
_cell_angle_beta 90.00
_cell_angle_gamma 120.00
_symmetry_space_group_name_H-M 'P 1'
_symmetry_Int_Tables_number 1
_symmetry_space_group_name_Hall 'P 1'
loop_
_atom_site_label
_atom_site_type_symbol
_atom_site_fract_x
_atom_site_fract_y
_atom_site_fract_z
Be1 Be 0.000 0.000 0.000
Be2 Be 0.000 0.000 0.500
As1 As 0.667 0.333 0.750
As2 As 0.333 0.667 0.250



4:
# BeAs PBEsol relaxed
# Space-group type ... Pmmn (59)
data_BeAs
_chemical_formula_sum 'Be2 As2'
_cell_length_a 3.236
_cell_length_b 3.546
_cell_length_c 4.756
_cell_angle_alpha 90.00
_cell_angle_beta 90.00
_cell_angle_gamma 90.00
_symmetry_space_group_name_H-M 'P 1'
_symmetry_Int_Tables_number 1
_symmetry_space_group_name_Hall 'P 1'
loop_
_atom_site_label
_atom_site_type_symbol
_atom_site_fract_x
_atom_site_fract_y
_atom_site_fract_z
Be1 Be 0.500 0.815 0.000
Be2 Be 0.000 0.185 0.500
As1 As 0.000 0.313 0.000
As2 As 0.500 0.687 0.500



Which structure is the least stable? The one labeled 1.



1:
# Be2As PBEsol relaxed
# Space-group type ... I4/mmm (139)
data_Be2As
_chemical_formula_sum 'Be2 As1'
_cell_length_a 2.666
_cell_length_b 2.666
_cell_length_c 5.508
_cell_angle_alpha 104.01
_cell_angle_beta 104.01
_cell_angle_gamma 90.00
_symmetry_space_group_name_H-M 'P 1'
_symmetry_Int_Tables_number 1
_symmetry_space_group_name_Hall 'P 1'
loop_
_atom_site_label
_atom_site_type_symbol
_atom_site_fract_x
_atom_site_fract_y
_atom_site_fract_z
Be1 Be 0.192 0.192 0.383
Be2 Be 0.808 0.808 0.617
As1 As 0.500 0.500 0.000



2:
# Be2As PBEsol relaxed
# Space-group type ... I4/mmm (139)
data_Be2As
_chemical_formula_sum 'Be2 As1'
_cell_length_a 3.276
_cell_length_b 3.276
_cell_length_c 4.056
_cell_angle_alpha 113.82
_cell_angle_beta 113.82
_cell_angle_gamma 90.00
_symmetry_space_group_name_H-M 'P 1'
_symmetry_Int_Tables_number 1
_symmetry_space_group_name_Hall 'P 1'
loop_
_atom_site_label
_atom_site_type_symbol
_atom_site_fract_x
_atom_site_fract_y
_atom_site_fract_z
Be1 Be 0.659 0.659 0.317
Be2 Be 0.341 0.341 0.683
As1 As 0.000 0.000 0.000



3:
# Be2As PBEsol relaxed
# Space-group type ... P-3m1 (164)
data_Be2As
_chemical_formula_sum 'Be2 As1'
_cell_length_a 3.598
_cell_length_b 3.537
_cell_length_c 3.537
_cell_angle_alpha 120.00
_cell_angle_beta 90.00
_cell_angle_gamma 90.00
_symmetry_space_group_name_H-M 'P 1'
_symmetry_Int_Tables_number 1
_symmetry_space_group_name_Hall 'P 1'
loop_
_atom_site_label
_atom_site_type_symbol
_atom_site_fract_x
_atom_site_fract_y
_atom_site_fract_z
Be1 Be 0.700 0.667 0.333
Be2 Be 0.300 0.333 0.667
As1 As 0.000 0.000 0.000



Which structure is the least stable? The one labeled 1.